Entry 1:
A plane-wave DFT calculation with PBE was carried out for a relaxed KRbAsCl6 crystal.

abc: 7.480 7.480 6.729
angles: 90.00 90.00 60.00
Site moments in Bohr magnetons follow the coordinates.
Sites, in units of the cell vectors:
Cl 0.334 0.595 0.291  0.08
Cl 0.595 0.071 0.291  0.08
Cl 0.071 0.595 0.709  0.08
Cl 0.595 0.334 0.709  0.08
Cl 0.071 0.334 0.291  0.08
Cl 0.334 0.071 0.709  0.08
K 0.667 0.667 0.500  0.00
Rb 0.000 0.000 0.000  0.00
As 0.333 0.333 0.500  0.13

Output
As for the space group: P312. Its formation energy (no corrections) is -10.3 eV per formula unit. The calculated total energy comes out at -3.13 eV/atom.

Entry 2:
A plane-wave DFT calculation with PBE was carried out for a relaxed KLa2SiS crystal.

abc: 5.568 5.072 5.568
angles: 90.00 90.00 90.00
Sites, in units of the cell vectors:
K 0.500 0.500 0.500
Si 0.000 0.500 0.000
La 0.000 0.000 0.500
La 0.500 0.000 0.000
S 0.000 0.000 0.000

Output
As for the space group: P4/mmm. Its formation energy (no corrections) is -1.6 eV per formula unit. The calculated total energy comes out at -4.42 eV/atom.

Entry 3:
A plane-wave DFT calculation with PBE was carried out for a relaxed NpV4Ga crystal.

abc: 5.135 5.135 5.135
angles: 60.00 60.00 60.00
Site moments in Bohr magnetons follow the coordinates.
Sites, in units of the cell vectors:
Np 0.250 0.250 0.250  3.48
V 0.131 0.623 0.623  -0.03
V 0.623 0.623 0.623  -0.03
V 0.623 0.131 0.623  -0.03
V 0.623 0.623 0.131  -0.03
Ga 0.000 0.000 0.000  0.00

Output
As for the space group: F-43m. The energy of formation from the pure elements comes out at 0.325 eV/atom. The calculated total energy comes out at -8.42 eV/atom.

Entry 4:
A plane-wave DFT calculation with PBE was carried out for a relaxed CaSiAs2 crystal.

abc: 3.782 3.782 5.890
angles: 90.00 90.00 91.79
Sites, in units of the cell vectors:
As 0.000 0.000 0.538
As 0.000 0.000 0.962
Ca 0.500 0.500 0.250
Si 0.500 0.500 0.750

Output
As for the space group: Cmmm. Its formation energy (no corrections) is -0.7 eV per formula unit. The calculated total energy comes out at -4.36 eV/atom.

Entry 5:
A plane-wave DFT calculation with PBE was carried out for a relaxed Tm3CuIr crystal.

abc: 3.751 7.549 9.121
angles: 64.10 90.04 90.02
Sites, in units of the cell vectors:
Tm 0.863 0.373 0.760
Tm 0.863 0.606 0.023
Tm 0.863 0.966 0.660
Tm 0.864 0.784 0.409
Tm 0.363 0.175 0.108
Tm 0.363 0.384 0.416
Ir 0.363 0.657 0.741
Ir 0.863 0.212 0.304
Cu 0.364 0.004 0.874
Cu 0.364 0.780 0.170

Output
As for the space group: Pm. The energy of formation from the pure elements comes out at -0.436 eV/atom. The calculated total energy comes out at -5.71 eV/atom.

Entry 6:
A plane-wave DFT calculation with PBE was carried out for a relaxed Mn2TcNiH crystal.

abc: 3.634 3.634 3.731
angles: 90.00 90.00 90.00
Sites, in units of the cell vectors:
H 0.000 0.000 0.000
Mn 0.000 0.500 0.000
Mn 0.500 0.000 0.000
Ni 0.500 0.500 0.500
Tc 0.000 0.000 0.500

Output
As for the space group: P4/mmm. As for the energy above the most stable polymorph in this dataset: 48.3 meV per atom. The calculated total energy comes out at -7.48 eV/atom.

Entry 7:
A plane-wave DFT calculation with PBE was carried out for a relaxed ZnTc2H crystal.

abc: 4.102 4.102 4.102
angles: 60.00 60.00 60.00
Sites, in units of the cell vectors:
Zn 0.500 0.500 0.500
Tc 0.750 0.750 0.750
Tc 0.250 0.250 0.250
H 0.000 0.000 0.000

Output
As for the space group: Fm-3m. As for the energy above the most stable polymorph in this dataset: 864.9 meV per atom. The calculated total energy comes out at -5.47 eV/atom.

Entry 8:
A plane-wave DFT calculation with PBE was carried out for a relaxed Sr2RePt crystal.

abc: 5.482 5.482 5.482
angles: 128.62 128.59 75.64
Site moments in Bohr magnetons follow the coordinates.
Sites, in units of the cell vectors:
Sr 0.000 0.000 0.000  0.01
Sr 0.500 0.500 0.000  0.01
Pt 0.750 0.250 0.500  0.09
Re 0.250 0.750 0.500  1.83

Output
As for the space group: I4/mmm. As for the energy above the most stable polymorph in this dataset: 516.8 meV per atom. The energy of formation from the pure elements comes out at 0.637 eV/atom. The calculated total energy comes out at -4.83 eV/atom.

Entry 9:
A plane-wave DFT calculation with PBE was carried out for a relaxed TiCrAgS4 crystal.

abc: 7.254 7.254 7.254
angles: 120.04 119.10 90.75
Site moments in Bohr magnetons follow the coordinates.
Sites, in units of the cell vectors:
Ag 0.621 0.871 0.750  0.00
Ag 0.879 0.629 0.250  0.00
S 0.488 0.019 0.483  -0.03
S 0.491 0.455 0.471  -0.06
S 0.012 0.495 0.530  -0.03
S 0.484 0.020 0.029  -0.06
S 0.464 0.481 0.970  -0.03
S 0.016 0.045 0.536  -0.06
S 0.009 0.480 0.964  -0.06
S 0.036 0.005 0.017  -0.03
Ti 0.278 0.750 0.028  0.14
Ti 0.222 0.250 0.472  0.14
Cr 0.250 0.255 0.005  2.83
Cr 0.750 0.245 0.495  2.83

Output
As for the space group: I2_12_12_1. As for the energy above the most stable polymorph in this dataset: 3.2 meV per atom. Its formation energy (no corrections) is -5.7 eV per formula unit. The calculated total energy comes out at -6.09 eV/atom.

Entry 10:
A plane-wave DFT calculation with PBE was carried out for a relaxed Y4Cu crystal.

abc: 7.310 7.310 7.268
angles: 105.73 105.73 117.43
Sites, in units of the cell vectors:
Y 0.779 0.027 0.841
Y 0.132 0.475 0.750
Y 0.632 0.475 0.750
Y 0.185 0.938 0.159
Y 0.188 0.935 0.659
Y 0.277 0.529 0.341
Y 0.725 0.382 0.250
Y 0.725 0.882 0.250
Cu 0.580 0.080 0.500
Cu 0.330 0.330 0.000

Output
As for the space group: Fdd2. As for the energy above the most stable polymorph in this dataset: 0.0 meV per atom. The energy of formation from the pure elements comes out at 0.013 eV/atom. The calculated total energy comes out at -5.98 eV/atom.

Entry 11:
A plane-wave DFT calculation with PBE was carried out for a relaxed NpTlCuO4 crystal.

abc: 5.973 7.254 6.915
angles: 118.47 90.00 114.31
Site moments in Bohr magnetons follow the coordinates.
Sites, in units of the cell vectors:
Cu 0.500 0.500 0.500  -0.20
Cu 0.000 0.500 0.500  -0.20
Np 0.500 0.000 0.500  1.51
Np 0.500 0.000 0.000  1.51
O 0.305 0.035 0.768  -0.07
O 0.678 0.356 0.617  -0.09
O 0.678 0.356 0.239  -0.09
O 0.695 0.965 0.232  -0.07
O 0.322 0.644 0.761  -0.09
O 0.322 0.644 0.383  -0.09
O 0.730 0.035 0.768  -0.07
O 0.270 0.965 0.232  -0.07
Tl 0.816 0.633 0.066  -0.02
Tl 0.184 0.367 0.934  -0.02

Output
As for the space group: Imma. Its formation energy (no corrections) is -11.8 eV per formula unit. The calculated total energy comes out at -7.29 eV/atom.

Entry 12:
A plane-wave DFT calculation with PBE was carried out for a relaxed La2Ga4B crystal.

abc: 4.591 4.591 8.204
angles: 73.75 73.75 90.00
Sites, in units of the cell vectors:
La 0.348 0.348 0.304
La 0.652 0.652 0.696
Ga 0.500 0.000 0.000
Ga 0.142 0.142 0.716
Ga 0.000 0.500 0.000
Ga 0.858 0.858 0.284
B 0.000 0.000 0.000

Output
As for the space group: I4/mmm. The energy of formation from the pure elements comes out at -0.172 eV/atom. The calculated total energy comes out at -4.26 eV/atom.

> The highest calculated total energy belongs to which entry?

KRbAsCl6

> Which value of calculated total energy does entry 6 give?

-7.48 eV/atom

> Look up the calculated total energy of the seventh one.

-5.47 eV/atom

> Among the records above, which one has the lowest calculated total energy?

NpV4Ga